(1)
# ErLuFeSi2

An optimized crystal structure of ErLuFeSi2 (PBE, the Open Quantum Materials Database).

Cell and atoms, written as CIF:
```
data_ErLuFeSi2
_cell_length_a 5.5238
_cell_length_b 5.5238
_cell_length_c 9.7843
_cell_angle_alpha 116.58
_cell_angle_beta 116.58
_cell_angle_gamma 43.49
_symmetry_space_group_name_H-M 'P 1'
_symmetry_Int_Tables_number 1
loop_
_symmetry_equiv_pos_as_xyz
'x,y,z'
loop_
_atom_site_label
_atom_site_type_symbol
_atom_site_fract_x
_atom_site_fract_y
_atom_site_fract_z
Lu1 Lu 0.5003 0.5003 0.3290
Lu2 Lu 0.4997 0.4997 0.6710
Si1 Si 0.1502 0.1502 0.5625
Si2 Si 0.9976 0.9976 0.1272
Si3 Si 0.8498 0.8498 0.4375
Si4 Si 0.0024 0.0024 0.8728
Er1 Er 0.6891 0.6891 0.1092
Er2 Er 0.3109 0.3109 0.8908
Fe1 Fe 0.2300 0.2300 0.3755
Fe2 Fe 0.7700 0.7700 0.6245
```

Summary:
Its space-group type is C2/m (12). The spin magnetization comes out at 0.01 μB/f.u. Its energy above the most stable polymorph in this dataset is 0.000 eV per atom. Its total energy is -6.38 eV per atom.



(2)
# K2HfCdBr6

An optimized crystal structure of K2HfCdBr6 (PBE, the Open Quantum Materials Database).

Cell and atoms, written as CIF:
```
data_K2HfCdBr6
_cell_length_a 8.3699
_cell_length_b 8.3699
_cell_length_c 8.3699
_cell_angle_alpha 60.00
_cell_angle_beta 60.00
_cell_angle_gamma 60.00
_symmetry_space_group_name_H-M 'P 1'
_symmetry_Int_Tables_number 1
loop_
_symmetry_equiv_pos_as_xyz
'x,y,z'
loop_
_atom_site_label
_atom_site_type_symbol
_atom_site_fract_x
_atom_site_fract_y
_atom_site_fract_z
Br1 Br 0.2779 0.7221 0.2779
Br2 Br 0.2779 0.2779 0.7221
Br3 Br 0.7221 0.7221 0.2779
Br4 Br 0.7221 0.2779 0.7221
Br5 Br 0.7221 0.2779 0.2779
Br6 Br 0.2779 0.7221 0.7221
K1 K 0.7500 0.7500 0.7500
K2 K 0.2500 0.2500 0.2500
Cd1 Cd 0.0000 0.0000 0.0000
Hf1 Hf 0.5000 0.5000 0.5000
```

Summary:
Its space-group type is Fm-3m (225). The spin magnetization comes out at 0.00 μB/f.u. Its total energy is -3.58 eV per atom.



(3)
# CsAgBi

An optimized crystal structure of CsAgBi (PBE, the Open Quantum Materials Database).

Cell and atoms, written as CIF:
```
data_CsAgBi
_cell_length_a 5.4908
_cell_length_b 5.4908
_cell_length_c 5.4908
_cell_angle_alpha 60.00
_cell_angle_beta 60.00
_cell_angle_gamma 60.00
_symmetry_space_group_name_H-M 'P 1'
_symmetry_Int_Tables_number 1
loop_
_symmetry_equiv_pos_as_xyz
'x,y,z'
loop_
_atom_site_label
_atom_site_type_symbol
_atom_site_fract_x
_atom_site_fract_y
_atom_site_fract_z
Cs1 Cs 0.7500 0.7500 0.7500
Bi1 Bi 0.2500 0.2500 0.2500
Ag1 Ag 0.0000 0.0000 0.0000
```

Summary:
Its space-group type is F-43m (216). Its energy above the most stable polymorph in this dataset is 0.000 eV per atom. Its total energy is -2.37 eV per atom.



(4)
# ErInAsO

An optimized crystal structure of ErInAsO (PBE, the Open Quantum Materials Database).

Cell and atoms, written as CIF:
```
data_ErInAsO
_cell_length_a 4.0687
_cell_length_b 7.6453
_cell_length_c 5.8548
_cell_angle_alpha 90.00
_cell_angle_beta 90.00
_cell_angle_gamma 90.00
_symmetry_space_group_name_H-M 'P 1'
_symmetry_Int_Tables_number 1
loop_
_symmetry_equiv_pos_as_xyz
'x,y,z'
loop_
_atom_site_label
_atom_site_type_symbol
_atom_site_fract_x
_atom_site_fract_y
_atom_site_fract_z
As1 As 0.0000 0.1789 0.9192
As2 As 0.0000 0.8211 0.4192
O1 O 0.5000 0.7044 0.9032
O2 O 0.5000 0.2956 0.4032
Er1 Er 0.0000 0.1911 0.4261
Er2 Er 0.0000 0.8089 0.9261
In1 In 0.5000 0.3921 0.0054
In2 In 0.5000 0.6079 0.5054
```

Summary:
Its space-group type is Pmc2_1 (26). The spin magnetization comes out at 0.01 μB/f.u. Its energy above the most stable polymorph in this dataset is 0.175 eV per atom. Its total energy is -5.54 eV per atom.



(5)
# PaReGe

An optimized crystal structure of PaReGe (PBE, the Open Quantum Materials Database).

Cell and atoms, written as CIF:
```
data_PaReGe
_cell_length_a 4.6157
_cell_length_b 4.6157
_cell_length_c 4.6157
_cell_angle_alpha 60.00
_cell_angle_beta 60.00
_cell_angle_gamma 60.00
_symmetry_space_group_name_H-M 'P 1'
_symmetry_Int_Tables_number 1
loop_
_symmetry_equiv_pos_as_xyz
'x,y,z'
loop_
_atom_site_label
_atom_site_type_symbol
_atom_site_fract_x
_atom_site_fract_y
_atom_site_fract_z
Ge1 Ge 0.2500 0.2500 0.2500
Re1 Re 0.7500 0.7500 0.7500
Pa1 Pa 0.0000 0.0000 0.0000
```

Summary:
Its space-group type is F-43m (216). The spin magnetization comes out at 0.00 μB/f.u. Its total energy is -8.05 eV per atom.



(6)
# Mo

An optimized crystal structure of Mo (PBE, the Open Quantum Materials Database).

Cell and atoms, written as CIF:
```
data_Mo
_cell_length_a 2.7374
_cell_length_b 2.7374
_cell_length_c 2.7374
_cell_angle_alpha 109.47
_cell_angle_beta 109.47
_cell_angle_gamma 109.47
_symmetry_space_group_name_H-M 'P 1'
_symmetry_Int_Tables_number 1
loop_
_symmetry_equiv_pos_as_xyz
'x,y,z'
loop_
_atom_site_label
_atom_site_type_symbol
_atom_site_fract_x
_atom_site_fract_y
_atom_site_fract_z
Mo1 Mo 0.0000 0.0000 0.0000
```

Summary:
Its space-group type is Im-3m (229). The spin magnetization comes out at 0.00 μB/f.u. Its energy above the most stable polymorph in this dataset is 0.000 eV per atom. Its total energy is -10.85 eV per atom. For the energy of formation from the pure elements, the calculation gives 0 kJ/mol of formula units.



(7)
# HfCuReTe

An optimized crystal structure of HfCuReTe (PBE, the Open Quantum Materials Database).

Cell and atoms, written as CIF:
```
data_HfCuReTe
_cell_length_a 4.5943
_cell_length_b 4.5943
_cell_length_c 4.5943
_cell_angle_alpha 60.00
_cell_angle_beta 60.00
_cell_angle_gamma 60.00
_symmetry_space_group_name_H-M 'P 1'
_symmetry_Int_Tables_number 1
loop_
_symmetry_equiv_pos_as_xyz
'x,y,z'
loop_
_atom_site_label
_atom_site_type_symbol
_atom_site_fract_x
_atom_site_fract_y
_atom_site_fract_z
Hf1 Hf 0.0000 0.0000 0.0000
Re1 Re 0.5000 0.5000 0.5000
Te1 Te 0.2500 0.2500 0.2500
Cu1 Cu 0.7500 0.7500 0.7500
```

Summary:
Its space-group type is F-43m (216). The spin magnetization comes out at 0.01 μB/f.u. Its energy above the most stable polymorph in this dataset is 0.046 eV per atom. Its total energy is -7.00 eV per atom.



(8)
# LiCo

An optimized crystal structure of LiCo (PBE, the Open Quantum Materials Database).

Cell and atoms, written as CIF:
```
data_LiCo
_cell_length_a 4.5515
_cell_length_b 4.5515
_cell_length_c 4.5515
_cell_angle_alpha 31.11
_cell_angle_beta 31.11
_cell_angle_gamma 31.11
_symmetry_space_group_name_H-M 'P 1'
_symmetry_Int_Tables_number 1
loop_
_symmetry_equiv_pos_as_xyz
'x,y,z'
loop_
_atom_site_label
_atom_site_type_symbol
_atom_site_fract_x
_atom_site_fract_y
_atom_site_fract_z
Li1 Li 0.5000 0.5000 0.5000
Co1 Co 0.0000 0.0000 0.0000
```

Summary:
Its space-group type is R-3m (166). The spin magnetization comes out at 1.22 μB/f.u. Its total energy is -4.37 eV per atom.



(9)
# LaY2In3Ni3

An optimized crystal structure of LaY2In3Ni3 (PBE, the Open Quantum Materials Database).

Cell and atoms, written as CIF:
```
data_LaY2In3Ni3
_cell_length_a 3.8902
_cell_length_b 7.4750
_cell_length_c 7.4750
_cell_angle_alpha 119.17
_cell_angle_beta 90.00
_cell_angle_gamma 90.00
_symmetry_space_group_name_H-M 'P 1'
_symmetry_Int_Tables_number 1
loop_
_symmetry_equiv_pos_as_xyz
'x,y,z'
loop_
_atom_site_label
_atom_site_type_symbol
_atom_site_fract_x
_atom_site_fract_y
_atom_site_fract_z
Ni1 Ni 0.5000 0.3326 0.6632
Ni2 Ni 0.0000 0.0015 0.0015
Ni3 Ni 0.5000 0.6632 0.3326
Y1 Y 0.0000 0.5885 0.9984
Y2 Y 0.0000 0.9984 0.5885
In1 In 0.5000 0.2503 0.9915
In2 In 0.5000 0.7580 0.7580
In3 In 0.5000 0.9915 0.2503
La1 La 0.0000 0.4159 0.4159
```

Summary:
Its space-group type is Amm2 (38). The spin magnetization comes out at 0.00 μB/f.u. Its total energy is -5.25 eV per atom.



(10)
# LuCoGeW

An optimized crystal structure of LuCoGeW (PBE, the Open Quantum Materials Database).

Cell and atoms, written as CIF:
```
data_LuCoGeW
_cell_length_a 4.5789
_cell_length_b 4.5789
_cell_length_c 4.5789
_cell_angle_alpha 60.00
_cell_angle_beta 60.00
_cell_angle_gamma 60.00
_symmetry_space_group_name_H-M 'P 1'
_symmetry_Int_Tables_number 1
loop_
_symmetry_equiv_pos_as_xyz
'x,y,z'
loop_
_atom_site_label
_atom_site_type_symbol
_atom_site_fract_x
_atom_site_fract_y
_atom_site_fract_z
W1 W 0.5000 0.5000 0.5000
Lu1 Lu 0.2500 0.2500 0.2500
Ge1 Ge 0.0000 0.0000 0.0000
Co1 Co 0.7500 0.7500 0.7500
```

Summary:
Its space-group type is F-43m (216). The spin magnetization comes out at 3.43 μB/f.u. Its energy above the most stable polymorph in this dataset is 0.160 eV per atom. Its total energy is -6.79 eV per atom.



(11)
# ErTlP2Se6

An optimized crystal structure of ErTlP2Se6 (PBE, the Open Quantum Materials Database).

Cell and atoms, written as CIF:
```
data_ErTlP2Se6
_cell_length_a 6.8206
_cell_length_b 7.5939
_cell_length_c 10.5040
_cell_angle_alpha 90.00
_cell_angle_beta 91.49
_cell_angle_gamma 90.00
_symmetry_space_group_name_H-M 'P 1'
_symmetry_Int_Tables_number 1
loop_
_symmetry_equiv_pos_as_xyz
'x,y,z'
loop_
_atom_site_label
_atom_site_type_symbol
_atom_site_fract_x
_atom_site_fract_y
_atom_site_fract_z
Tl1 Tl 0.8191 0.2788 0.0082
Tl2 Tl 0.1809 0.7788 0.9918
P1 P 0.6896 0.7709 0.7896
P2 P 0.1839 0.4904 0.3287
P3 P 0.8161 0.9904 0.6713
P4 P 0.3104 0.2709 0.2104
Se1 Se 0.4241 0.6911 0.3360
Se2 Se 0.8985 0.5554 0.7645
Se3 Se 0.9038 0.5862 0.2482
Se4 Se 0.5685 0.1935 0.3365
Se5 Se 0.1242 0.3617 0.5173
Se6 Se 0.5759 0.1911 0.6640
Se7 Se 0.0962 0.0862 0.7518
Se8 Se 0.4315 0.6935 0.6635
Se9 Se 0.1015 0.0554 0.2355
Se10 Se 0.6518 0.8655 0.9812
Se11 Se 0.8758 0.8617 0.4827
Se12 Se 0.3482 0.3655 0.0188
Er1 Er 0.2842 0.0023 0.4977
Er2 Er 0.7158 0.5023 0.5023
```

Summary:
Its space-group type is P2_1 (4). The spin magnetization comes out at 0.00 μB/f.u. Its total energy is -4.49 eV per atom.



(12)
# AlNiIr6

An optimized crystal structure of AlNiIr6 (PBE, the Open Quantum Materials Database).

Cell and atoms, written as CIF:
```
data_AlNiIr6
_cell_length_a 5.8192
_cell_length_b 5.8192
_cell_length_c 5.8192
_cell_angle_alpha 60.00
_cell_angle_beta 60.00
_cell_angle_gamma 60.00
_symmetry_space_group_name_H-M 'P 1'
_symmetry_Int_Tables_number 1
loop_
_symmetry_equiv_pos_as_xyz
'x,y,z'
loop_
_atom_site_label
_atom_site_type_symbol
_atom_site_fract_x
_atom_site_fract_y
_atom_site_fract_z
Ir1 Ir 0.2785 0.7215 0.7215
Ir2 Ir 0.7215 0.2785 0.7215
Ir3 Ir 0.2785 0.2785 0.7215
Ir4 Ir 0.7215 0.7215 0.2785
Ir5 Ir 0.7215 0.2785 0.2785
Ir6 Ir 0.2785 0.7215 0.2785
Ni1 Ni 0.0000 0.0000 0.0000
Al1 Al 0.2500 0.2500 0.2500
```

Summary:
Its space-group type is F-43m (216). The spin magnetization comes out at 1.17 μB/f.u. Its total energy is -7.05 eV per atom.